Below is an optimized crystal structure of KRb2LiI4, with properties calculated at the PBE level.

a = 10.0250 Å, b = 10.0378 Å, c = 14.0327 Å
α = 90.00°, β = 90.00°, γ = 90.00°
Space group Imma (No. 74)
Asymmetric unit:
K (0.0000, 0.0000, 0.0000) x4
Rb (0.0000, 0.0000, 0.5000) x4
Rb (0.2500, 0.2500, 0.2500) x4
Li (0.2500, 0.2500, 0.7500) x4
I (0.0000, 0.0272, 0.7535) x8
I (0.2427, 0.2500, 0.9722) x8

## Properties
Energy relative to the elements, uncorrected ... -1.366 eV/atom
Total energy ... -22.08 eV/f.u.
Calculated density ... 3.41 g/cm3



Below is an optimized crystal structure of BeH2Pb, with properties calculated at the PBE level.

a = 5.7942 Å, b = 5.7942 Å, c = 5.7942 Å
α = 90.00°, β = 90.00°, γ = 90.00°
Space group Fm-3m (No. 225)
Asymmetric unit:
Be (0.0000, 0.0000, 0.0000) x4
H (0.2500, 0.2500, 0.2500) x8
Pb (0.0000, 0.0000, 0.5000) x4

## Properties
Total energy ... -10.30 eV/f.u.
Calculated density ... 7.45 g/cm3



Below is an optimized crystal structure of Na6Cd12Hg, with properties calculated at the PBE level.

a = 11.4774 Å, b = 11.4774 Å, c = 12.5237 Å
α = 90.00°, β = 90.00°, γ = 120.00°
Space group R-3 (No. 148, hexagonal axes)
Asymmetric unit:
Na (0.0275, 0.4318, 0.2152) x18
Cd (0.0541, 0.1845, 0.3096) x18
Cd (0.0614, 0.8710, 0.9034) x18
Hg (0.0000, 0.0000, 0.5000) x3

## Properties
Total energy ... -20.36 eV/f.u.
Calculated density ... 5.88 g/cm3
Formation enthalpy at 0 K ... -0.061 eV per atom



Below is an optimized crystal structure of SnP2Cl, with properties calculated at the PBE level.

a = 6.6460 Å, b = 6.6460 Å, c = 10.1240 Å
α = 90.00°, β = 90.00°, γ = 90.00°
Space group I-42d (No. 122)
Asymmetric unit:
Sn (0.0000, 0.0000, 0.0000) x4
P (0.2288, 0.2500, 0.1250) x8
Cl (0.0000, 0.0000, 0.5000) x4

## Properties
Energy relative to the elements, uncorrected ... 0.547 eV/atom
Total energy ... -14.48 eV/f.u.
Calculated density ... 3.21 g/cm3



- total energy of number 2 (BeH2Pb)?
  -10.30 eV/f.u.



- The highest calculated density belongs to which entry?
  BeH2Pb